Arrangement i

First-principles (PBE-GGA) data for CaV3Ir after structural relaxation, as listed in Alexandria via LeMat-Bulk.

Summary:
D(E_F)	6.9	states/eV/cell
total moment	5.829	μB/f.u.
crystal system	cubic

Unit cell a=4.785 b=4.785 c=4.785 alpha=90.00 beta=90.00 gamma=90.00
Space group Pm-3m (No. 221)
Symmetry-distinct sites (fractional):
Ca 0.000 0.000 0.000
V 0.000 0.500 0.500
Ir 0.500 0.500 0.500



Arrangement ii

First-principles (PBE-GGA) data for CaV3Ir after structural relaxation, as listed in Alexandria via LeMat-Bulk.

Summary:
D(E_F)	9.2	states/eV/cell
total moment	0.002	μB/f.u.
crystal system	cubic

Unit cell a=4.263 b=4.263 c=4.263 alpha=90.00 beta=90.00 gamma=90.00
Space group Pm-3m (No. 221)
Symmetry-distinct sites (fractional):
Ca 0.000 0.000 0.000
V 0.000 0.000 0.500
Ir 0.500 0.500 0.500



The structure with the most favorable energy is arrangement i; the runner-up is 1465 meV per atom above it.